1.
A relaxed Na2Li2Te crystal. Source: Alexandria, functional PBE.

Calculated values
**E above lowest polymorph**: 191 meV/atom
**Volume**: 286.9 Å³ per cell

Lattice parameters (Å, degrees): 7.7445 7.7445 4.7838 90.00 90.00 90.00
Last column: nearest neighbours and their distance in Å.
Positions (direct):
Li (0.3316, 0.1684, 0.5000)  6 Na 3.19-3.38
Li (0.6684, 0.8316, 0.5000)  6 Na 3.19-3.38
Na (0.1386, 0.3614, 0.0000)  2 Te 3.00, 1 Na 3.04, 2 Li 3.19
Te (0.0000, 0.0000, 0.0000)  4 Na 3.00
Na (0.3614, 0.8614, 0.0000)  2 Te 3.00, 1 Na 3.04, 2 Li 3.19
Na (0.8614, 0.6386, 0.0000)  2 Te 3.00, 1 Na 3.04, 2 Li 3.19
Li (0.1684, 0.6684, 0.5000)  6 Na 3.19-3.38
Li (0.8316, 0.3316, 0.5000)  6 Na 3.19-3.38
Te (0.5000, 0.5000, 0.0000)  4 Na 3.00
Na (0.6386, 0.1386, 0.0000)  2 Te 3.00, 1 Na 3.04, 2 Li 3.19


2.
A relaxed Na2LiThTe4 crystal. Source: Alexandria, functional PBE.

Calculated values
**Volume**: 533.3 Å³ per cell

Lattice parameters (Å, degrees): 9.0964 9.0977 8.9793 119.59 119.57 89.71
Last column: nearest neighbours and their distance in Å.
Positions (direct):
Te (0.7667, 0.2433, 0.5049)  3 Na 3.09-3.29, 2 Th 3.14
Te (0.2567, 0.7333, 0.9952)  3 Na 3.09-3.29, 2 Th 3.14
Li (0.4362, 0.4852, 0.4603)  5 Te 2.85-3.06
Na (0.4994, 0.0004, 0.9948)  6 Te 3.22-3.44
Th (0.0135, 0.4862, 0.9924)  6 Te 3.03-3.34
Na (0.4626, 0.4604, 0.9618)  4 Te 3.09-3.12
Na (0.0397, 0.0375, 0.5380)  4 Te 3.09-3.12
Te (0.2495, 0.2513, 0.4793)  2 Li 2.85, 1 Th 3.03, 2 Na 3.12
Te (0.2175, 0.7397, 0.4786)  1 Li 3.04, 3 Na 3.10-3.34, 2 Th 3.15
Li (0.0150, 0.0636, 0.0395)  5 Te 2.85-3.06
Te (0.2487, 0.2506, 0.0205)  2 Li 2.85, 1 Th 3.03, 2 Na 3.12
Te (0.7604, 0.7397, 0.5939)  1 Te 2.81, 2 Li 3.05-3.06
Te (0.7604, 0.2824, 0.0215)  1 Li 3.04, 3 Na 3.10-3.34, 2 Th 3.15
Na (0.4996, 0.0006, 0.5053)  6 Te 3.22-3.44
Th (0.0138, 0.4864, 0.5076)  6 Te 3.03-3.34
Te (0.7603, 0.7396, 0.9064)  1 Te 2.81, 2 Li 3.06


3.
A relaxed NaLi4Th3Te8 crystal. Source: Alexandria, functional PBE.

Calculated values
**Volume**: 480.0 Å³ per cell

Lattice parameters (Å, degrees): 8.8607 8.7162 8.8630 120.55 119.99 90.00
Last column: nearest neighbours and their distance in Å.
Positions (direct):
Te (0.7437, 0.2391, 0.9956)  3 Li 3.03-3.08, 2 Th 3.14, 1 Na 3.19
Te (0.7563, 0.7693, 0.5127)  3 Li 3.03, 3 Th 3.19
Te (0.2519, 0.2391, 0.9956)  3 Li 3.03-3.08, 2 Th 3.14, 1 Na 3.19
Li (0.0000, 0.0000, 0.0000)  6 Te 3.03-3.08
Th (0.0000, 0.5000, 0.5000)  6 Te 3.14-3.19
Te (0.2565, 0.7612, 0.5131)  3 Li 3.03-3.08, 2 Th 3.14, 1 Na 3.19
Te (0.2437, 0.2307, 0.4873)  3 Li 3.03, 3 Th 3.19
Te (0.7435, 0.2388, 0.4869)  3 Li 3.03-3.08, 2 Th 3.14, 1 Na 3.19
Li (0.5000, 0.0000, 0.5000)  6 Te 3.03-3.08
Li (0.5000, 0.0000, 0.0000)  6 Te 3.03
Na (0.0000, 0.5000, 0.0000)  6 Te 3.19
Li (0.0000, 0.0000, 0.5000)  6 Te 3.03-3.08
Th (0.5000, 0.5000, 0.0000)  6 Te 3.14-3.19
Te (0.2563, 0.7609, 0.0044)  3 Li 3.03-3.08, 2 Th 3.14, 1 Na 3.19
Th (0.5000, 0.5000, 0.5000)  6 Te 3.14-3.19
Te (0.7481, 0.7609, 0.0044)  3 Li 3.03-3.08, 2 Th 3.14, 1 Na 3.19


4.
A relaxed Na3LiTh2Te6 crystal. Source: Alexandria, functional PBE.

Calculated values
**Volume**: 397.3 Å³ per cell

Lattice parameters (Å, degrees): 7.8303 7.8303 7.9259 99.51 99.51 119.98
Last column: nearest neighbours and their distance in Å.
Positions (direct):
Li (0.0000, 0.0000, 0.0000)  6 Te 3.15-3.17
Na (0.1672, 0.8328, 0.5000)  6 Te 3.27-3.29
Na (0.5000, 0.5000, 0.5000)  6 Te 3.25-3.29
Te (0.0779, 0.4133, 0.2336)  2 Th 3.13-3.14, 1 Li 3.15, 3 Na 3.27-3.29
Te (0.4133, 0.0779, 0.2336)  2 Th 3.13-3.14, 1 Li 3.15, 3 Na 3.27-3.29
Th (0.6666, 0.3334, 0.0000)  6 Te 3.13-3.14
Te (0.5867, 0.9221, 0.7664)  2 Th 3.13-3.14, 1 Li 3.15, 3 Na 3.27-3.29
Te (0.7423, 0.7423, 0.2362)  2 Th 3.14, 1 Li 3.17, 3 Na 3.25-3.29
Te (0.9221, 0.5867, 0.7664)  2 Th 3.13-3.14, 1 Li 3.15, 3 Na 3.27-3.29
Na (0.8328, 0.1672, 0.5000)  6 Te 3.27-3.29
Th (0.3334, 0.6666, 0.0000)  6 Te 3.13-3.14
Te (0.2577, 0.2577, 0.7638)  2 Th 3.14, 1 Li 3.17, 3 Na 3.25-3.29


5.
A relaxed Na3LiU2Te6 crystal. Source: Alexandria, functional PBE.

Calculated values
**Volume**: 380.7 Å³ per cell

Lattice parameters (Å, degrees): 7.6819 7.6819 7.8771 99.36 99.36 119.99
Last column: nearest neighbours and their distance in Å.
Positions (direct):
Te (0.9238, 0.5859, 0.7717)  2 U 3.06, 1 Li 3.10, 3 Na 3.24-3.28
Te (0.4141, 0.0762, 0.2283)  2 U 3.06, 1 Li 3.10, 3 Na 3.24-3.28
Na (0.1660, 0.8340, 0.5000)  6 Te 3.24-3.28
Te (0.0762, 0.4141, 0.2283)  2 U 3.06, 1 Li 3.10, 3 Na 3.24-3.28
Te (0.5859, 0.9238, 0.7717)  2 U 3.06, 1 Li 3.10, 3 Na 3.24-3.28
Te (0.7382, 0.7382, 0.2297)  2 U 3.06, 1 Li 3.11, 3 Na 3.23-3.27
Te (0.2618, 0.2618, 0.7703)  2 U 3.06, 1 Li 3.11, 3 Na 3.23-3.27
Li (0.0000, 0.0000, 0.0000)  6 Te 3.10-3.11
U (0.6668, 0.3332, 0.0000)  6 Te 3.06
Na (0.5000, 0.5000, 0.5000)  6 Te 3.23-3.28
Na (0.8340, 0.1660, 0.5000)  6 Te 3.24-3.28
U (0.3332, 0.6668, 0.0000)  6 Te 3.06


6.
A relaxed NaLi2U3Te6 crystal. Source: Alexandria, functional PBE.

Calculated values
**Volume**: 357.9 Å³ per cell

Lattice parameters (Å, degrees): 4.3241 8.9063 9.8889 105.20 102.63 90.00
Last column: nearest neighbours and their distance in Å.
Positions (direct):
Na (0.5000, 0.0000, 0.0000)  6 Te 3.12-3.14
Te (0.0031, 0.2546, 0.0062)  1 Li 3.07, 3 U 3.09-3.12, 2 Na 3.12
Te (0.6688, 0.0882, 0.3376)  2 Li 3.08, 3 U 3.10-3.14, 1 Na 3.14
U (0.1648, 0.8310, 0.3296)  6 Te 3.10-3.14
Te (0.3319, 0.4210, 0.6637)  3 Li 3.04-3.07, 3 U 3.13
U (0.8352, 0.1690, 0.6704)  6 Te 3.10-3.14
Te (0.3312, 0.9118, 0.6624)  2 Li 3.08, 3 U 3.10-3.14, 1 Na 3.14
Li (0.8317, 0.6651, 0.6634)  6 Te 3.04-3.08
Li (0.1683, 0.3349, 0.3366)  6 Te 3.04-3.08
U (0.5000, 0.5000, 0.0000)  6 Te 3.09-3.13
Te (0.9969, 0.7454, 0.9938)  1 Li 3.07, 3 U 3.09-3.12, 2 Na 3.12
Te (0.6681, 0.5790, 0.3363)  3 Li 3.04-3.07, 3 U 3.13


7.
A relaxed NaLiU2Te4 crystal. Source: Alexandria, functional PBE.

Calculated values
**Volume**: 243.5 Å³ per cell

Lattice parameters (Å, degrees): 4.3455 7.5280 7.8555 108.65 90.00 90.00
Last column: nearest neighbours and their distance in Å.
Positions (direct):
Li (0.5000, 0.5000, 0.0000)  6 Te 3.10-3.11
U (0.0000, 0.5000, 0.5000)  6 Te 3.10
U (0.5000, 0.0000, 0.5000)  6 Te 3.14
Te (0.5000, 0.2556, 0.2530)  3 U 3.10-3.14, 1 Li 3.11, 2 Na 3.15
Te (0.0000, 0.2552, 0.7511)  3 U 3.10-3.14, 2 Li 3.10, 1 Na 3.15
Te (0.5000, 0.7444, 0.7470)  3 U 3.10-3.14, 1 Li 3.11, 2 Na 3.15
Na (0.0000, 0.0000, 0.0000)  6 Te 3.15
Te (0.0000, 0.7448, 0.2489)  3 U 3.10-3.14, 2 Li 3.10, 1 Na 3.15


8.
A relaxed NaLiVTe3 crystal. Source: Alexandria, functional PBE.

Calculated values
**Volume**: 311.6 Å³ per cell

Lattice parameters (Å, degrees): 3.9891 7.9207 10.4018 108.53 90.00 90.00
Last column: nearest neighbours and their distance in Å.
Positions (direct):
Te (0.2500, 0.0785, 0.8612)  1 Li 2.67, 2 V 2.73
Te (0.2500, 0.5630, 0.8833)  3 V 2.79-2.81
Li (0.7500, 0.9285, 0.3970)  4 Te 2.67-2.79, 2 Li 2.88
Na (0.7500, 0.7176, 0.6872)  7 Te 3.28-3.48
Te (0.2500, 0.7191, 0.4326)  3 Li 2.69-2.79, 1 V 2.73
Li (0.2500, 0.0715, 0.6030)  4 Te 2.67-2.79, 2 Li 2.88
Te (0.7500, 0.4370, 0.1167)  3 V 2.79-2.81
Te (0.7500, 0.9215, 0.1388)  1 Li 2.67, 2 V 2.73
V (0.2500, 0.7004, 0.1660)  6 Te 2.73-2.81
V (0.7500, 0.2996, 0.8340)  6 Te 2.73-2.81
Na (0.2500, 0.2824, 0.3128)  7 Te 3.28-3.48
Te (0.7500, 0.2809, 0.5674)  3 Li 2.69-2.79, 1 V 2.73


9.
A relaxed NaLiY2Te4 crystal. Source: Alexandria, functional PBE.

Calculated values
**Volume**: 244.8 Å³ per cell

Lattice parameters (Å, degrees): 4.3947 7.6094 7.7476 109.15 90.00 90.00
Last column: nearest neighbours and their distance in Å.
Positions (direct):
Y (0.0000, 0.5000, 0.5000)  6 Te 3.12
Y (0.5000, 0.0000, 0.5000)  6 Te 3.08
Te (0.0000, 0.2434, 0.7414)  3 Y 3.08-3.12, 1 Li 3.14, 2 Na 3.18
Te (0.5000, 0.7524, 0.7449)  3 Y 3.08-3.12, 2 Li 3.14, 1 Na 3.18
Na (0.5000, 0.5000, 0.0000)  6 Te 3.18
Li (0.0000, 0.0000, 0.0000)  6 Te 3.14
Te (0.0000, 0.7566, 0.2586)  3 Y 3.08-3.12, 1 Li 3.14, 2 Na 3.18
Te (0.5000, 0.2476, 0.2551)  3 Y 3.08-3.12, 2 Li 3.14, 1 Na 3.18


10.
A relaxed Na3LiZr3Te8 crystal. Source: Alexandria, functional PBE.

Calculated values
**Volume**: 459.6 Å³ per cell

Lattice parameters (Å, degrees): 8.3279 8.3210 9.0366 117.36 90.02 120.00
Last column: nearest neighbours and their distance in Å.
Positions (direct):
Zr (0.5000, 0.0000, 0.5000)  6 Te 2.91-2.96
Na (0.5000, 0.5000, 0.0000)  6 Te 3.20-3.25
Te (0.7320, 0.9754, 0.7188)  2 Zr 2.91, 1 Li 2.97, 2 Na 3.25
Zr (0.0000, 0.5000, 0.5000)  6 Te 2.91-2.96
Li (0.0000, 0.0000, 0.5000)  6 Te 2.97
Te (0.2583, 0.5168, 0.2751)  3 Zr 2.96, 3 Na 3.19-3.20
Te (0.7417, 0.4832, 0.7249)  3 Zr 2.96, 3 Na 3.19-3.20
Te (0.7565, 0.0246, 0.2812)  2 Zr 2.91, 1 Li 2.97, 2 Na 3.25
Na (0.0000, 0.5000, 0.0000)  6 Te 3.19-3.25
Te (0.7567, 0.5133, 0.2812)  2 Zr 2.91, 1 Li 2.97, 2 Na 3.25
Te (0.2433, 0.4867, 0.7188)  2 Zr 2.91, 1 Li 2.97, 2 Na 3.25
Zr (0.5000, 0.5000, 0.5000)  6 Te 2.91-2.96
Te (0.2680, 0.0246, 0.2812)  2 Zr 2.91, 1 Li 2.97, 2 Na 3.25
Na (0.0000, 0.0000, 0.0000)  6 Te 3.20-3.25
Te (0.2435, 0.9754, 0.7188)  2 Zr 2.91, 1 Li 2.97, 2 Na 3.25


11.
A relaxed Na2LiZr2Te6 crystal. Source: Alexandria, functional PBE.

Calculated values
**Volume**: 344.3 Å³ per cell

Lattice parameters (Å, degrees): 7.1518 7.1518 8.1653 98.38 98.38 120.41
Last column: nearest neighbours and their distance in Å.
Positions (direct):
Li (0.0000, 0.0000, 0.5000)  6 Te 2.98-3.00
Te (0.0754, 0.4140, 0.7208)  2 Zr 2.91-2.92, 1 Li 2.98, 2 Na 3.21-3.25
Zr (0.6675, 0.3325, 0.5000)  6 Te 2.91-2.92
Te (0.5860, 0.9246, 0.2792)  2 Zr 2.91-2.92, 1 Li 2.98, 2 Na 3.21-3.25
Te (0.4140, 0.0754, 0.7208)  2 Zr 2.91-2.92, 1 Li 2.98, 2 Na 3.21-3.25
Te (0.7284, 0.7284, 0.7204)  2 Zr 2.91, 1 Li 3.00, 2 Na 3.25
Te (0.2716, 0.2716, 0.2796)  2 Zr 2.91, 1 Li 3.00, 2 Na 3.25
Na (0.1652, 0.8348, 0.0000)  6 Te 3.21-3.25
Na (0.8348, 0.1652, 0.0000)  6 Te 3.21-3.25
Te (0.9246, 0.5860, 0.2792)  2 Zr 2.91-2.92, 1 Li 2.98, 2 Na 3.21-3.25
Zr (0.3325, 0.6675, 0.5000)  6 Te 2.91-2.92


no.,formation energy from raw total energies (eV/atom),calculated total energy (eV/atom)
1,-0.248,-2.170
2,-0.978,-4.045
3,-1.087,-4.610
4,-1.129,-4.426
5,-0.838,-4.779
6,-0.759,-5.580
7,-0.759,-5.556
8,-0.569,-4.199
9,-1.310,-4.901
10,-0.861,-4.637
11,-0.835,-4.517